(1)
## K4HoTh3Se8 (PBE)

Data for K4HoTh3Se8 after structural relaxation.

Geometry as CIF:
```
data_K4HoTh3Se8
_symmetry_space_group_name_H-M 'R -3 m'
_symmetry_Int_Tables_number 166
_symmetry_space_group_name_Hall '-R 3 2"'
_cell_length_a 8.4500
_cell_length_b 8.4500
_cell_length_c 23.4852
_cell_angle_alpha 90.00
_cell_angle_beta 90.00
_cell_angle_gamma 120.00
loop_
_atom_site_label
_atom_site_type_symbol
_atom_site_fract_x
_atom_site_fract_y
_atom_site_fract_z
K1 K 0.0000 0.0000 0.0000
K2 K 0.0000 0.5000 0.0000
Ho1 Ho 0.0000 0.0000 0.5000
Th1 Th 0.0000 0.5000 0.5000
Se1 Se 0.0000 0.0000 0.2401
Se2 Se 0.0067 0.5034 0.2376
```

For the energy relative to the elements, uncorrected, the calculation gives -1587 meV/atom. For the total energy, the calculation gives -253.485 eV per cell. Its density of states at the Fermi level is 30.53 states/eV/cell.


(2)
## InBPb3 (PBE)

Data for InBPb3 after structural relaxation.

Geometry as CIF:
```
data_InBPb3
_symmetry_space_group_name_H-M 'P m -3 m'
_symmetry_Int_Tables_number 221
_symmetry_space_group_name_Hall '-P 4 2 3'
_cell_length_a 5.1518
_cell_length_b 5.1518
_cell_length_c 5.1518
_cell_angle_alpha 90.00
_cell_angle_beta 90.00
_cell_angle_gamma 90.00
loop_
_atom_site_label
_atom_site_type_symbol
_atom_site_fract_x
_atom_site_fract_y
_atom_site_fract_z
In1 In 0.0000 0.0000 0.0000
B1 B 0.5000 0.5000 0.5000
Pb1 Pb 0.0000 0.5000 0.5000
```

For the offset from the most stable computed form, the calculation gives 0 meV per atom. For the total energy, the calculation gives -17.501 eV per cell. Its density of states at the Fermi level is 2.81 states/eV/cell. The formation energy from the elements comes out at 3.04 eV/f.u.


(3)
## Ho2AgTe (PBE)

Data for Ho2AgTe after structural relaxation.

Geometry as CIF:
```
data_Ho2AgTe
_symmetry_space_group_name_H-M 'C m c m'
_symmetry_Int_Tables_number 63
_symmetry_space_group_name_Hall '-C 2c 2'
_cell_length_a 4.1220
_cell_length_b 23.6810
_cell_length_c 4.4077
_cell_angle_alpha 90.00
_cell_angle_beta 90.00
_cell_angle_gamma 90.00
loop_
_atom_site_label
_atom_site_type_symbol
_atom_site_fract_x
_atom_site_fract_y
_atom_site_fract_z
Ho1 Ho 0.0000 0.0641 0.2500
Ho2 Ho 0.0000 0.3290 0.2500
Ag1 Ag 0.0000 0.4588 0.2500
Te1 Te 0.0000 0.1957 0.2500
```

For the offset from the most stable computed form, the calculation gives 0 meV per atom. For the energy relative to the elements, uncorrected, the calculation gives -778 meV/atom. For the total energy, the calculation gives -73.036 eV per cell. Its density of states at the Fermi level is 10.40 states/eV/cell.


(4)
## Pu2UGe4Ir3 (PBE)

Data for Pu2UGe4Ir3 after structural relaxation.

Geometry as CIF:
```
data_Pu2UGe4Ir3
_symmetry_space_group_name_H-M 'P -4 m 2'
_symmetry_Int_Tables_number 115
_cell_length_a 4.1977
_cell_length_b 4.1977
_cell_length_c 11.3058
_cell_angle_alpha 90.00
_cell_angle_beta 90.00
_cell_angle_gamma 90.00
loop_
_symmetry_equiv_pos_as_xyz
'x,y,z'
'y,-x,-z'
'-x,-y,z'
'-y,x,-z'
'-x,y,z'
'-y,-x,-z'
'x,-y,z'
'y,x,-z'
loop_
_atom_site_label
_atom_site_type_symbol
_atom_site_fract_x
_atom_site_fract_y
_atom_site_fract_z
Pu1 Pu 0.0000 0.5000 0.2413
U1 U 0.0000 0.0000 0.5000
Ge1 Ge 0.0000 0.0000 0.0000
Ge2 Ge 0.0000 0.5000 0.6694
Ge3 Ge 0.5000 0.5000 0.0000
Ir1 Ir 0.0000 0.5000 0.8825
Ir2 Ir 0.5000 0.5000 0.5000
```

For the total energy, the calculation gives -89.221 eV per cell. Its density of states at the Fermi level is 25.10 states/eV/cell. The formation energy from the elements comes out at -4.22 eV/f.u.


Which formula does entry 2 have? InBPb3